VASP calculation (GGA-PBE) on a geometry-optimized Pu2BiAs structure.

Properties
* volume: 102 Å³/cell
* space-group type: No. 123

a b c (Å): 4.9835 4.9835 4.1107
angles (deg): 90.00 90.00 90.00
Sites, in units of the cell vectors:
Pu1 0.0000 0.5000 0.0000
Pu2 0.5000 0.0000 0.0000
Bi1 0.0000 0.0000 0.5000
As1 0.5000 0.5000 0.5000


VASP calculation (GGA-PBE) on a geometry-optimized Pu2BiAs structure.

Properties
* volume: 439 Å³/cell
* space-group type: No. 63

a b c (Å): 4.1534 15.6616 6.7512
angles (deg): 90.00 90.00 90.00
Sites, in units of the cell vectors:
Pu1 0.0000 0.1335 0.0179
Pu2 0.0000 0.1335 0.4821
Pu3 0.0000 0.8665 0.5179
Pu4 0.0000 0.8665 0.9821
Pu5 0.5000 0.3665 0.5179
Pu6 0.5000 0.3665 0.9821
Pu7 0.5000 0.6335 0.0179
Pu8 0.5000 0.6335 0.4821
Bi1 0.0000 0.4890 0.2500
Bi2 0.0000 0.5110 0.7500
Bi3 0.5000 0.0110 0.7500
Bi4 0.5000 0.9890 0.2500
As1 0.0000 0.2752 0.7500
As2 0.0000 0.7248 0.2500
As3 0.5000 0.2248 0.2500
As4 0.5000 0.7752 0.7500


VASP calculation (GGA-PBE) on a geometry-optimized Pu2BiAs structure.

Properties
* volume: 345 Å³/cell
* space-group type: No. 166

a b c (Å): 4.2832 4.2832 21.7216
angles (deg): 90.00 90.00 120.00
Sites, in units of the cell vectors:
Pu1 0.0000 0.0000 0.2399
Pu2 0.0000 0.0000 0.7601
Pu3 0.3333 0.6667 0.4267
Pu4 0.3333 0.6667 0.9066
Pu5 0.6667 0.3333 0.0934
Pu6 0.6667 0.3333 0.5733
Bi1 0.0000 0.0000 0.0000
Bi2 0.3333 0.6667 0.6667
Bi3 0.6667 0.3333 0.3333
As1 0.0000 0.0000 0.5000
As2 0.3333 0.6667 0.1667
As3 0.6667 0.3333 0.8333


Computed values of calculated total energy (unit: eV per atom) for the preceding records, in sequence: -9.777; -9.917; -9.950.
Computed values of ΔE_f (unit: eV per formula unit) for the preceding records, in sequence: -1.9; -2.5; -2.6.